Entry 1:
Compound: K3Cu2PdCl9
Source: the Alexandria database
Functional: GGA-PBE
Structure: optimized geometry

Lattice parameters (Å, degrees): 6.935 6.935 8.452 90.00 90.00 120.00
Positions (direct):
K  0.000  0.000  0.000
K  0.333  0.667  0.674
K  0.667  0.333  0.326
Cu  0.333  0.667  0.162
Cu  0.667  0.333  0.838
Pd  0.000  0.000  0.500
Cl  0.000  0.500  0.000
Cl  0.167  0.335  0.333
Cl  0.167  0.833  0.333
Cl  0.335  0.167  0.667
Cl  0.500  0.000  0.000
Cl  0.500  0.500  0.000
Cl  0.665  0.833  0.333
Cl  0.833  0.167  0.667
Cl  0.833  0.665  0.667

Calculated values
- Final energy: -3.30 eV per atom

***

Entry 2:
Compound: Sm2PbSe
Source: the Alexandria database
Functional: GGA-PBE
Structure: optimized geometry

Lattice parameters (Å, degrees): 7.555 7.555 7.555 131.66 131.66 70.77
Positions (direct):
Sm  0.119  0.369  0.750
Sm  0.369  0.119  0.250
Sm  0.631  0.881  0.750
Sm  0.881  0.631  0.250
Pb  0.375  0.625  0.750
Pb  0.625  0.375  0.250
Se  0.125  0.875  0.250
Se  0.875  0.125  0.750

Calculated values
- E above lowest polymorph: 0 meV/atom
- Final energy: -5.34 eV per atom

***

Q: Look up the final energy of the second one.
A: -5.34 eV per atom

***

Q: Which value of final energy does entry 1 give?
A: -3.30 eV per atom

***

What did the second record say?
Compound: Sm2PbSe
Source: the Alexandria database
Functional: GGA-PBE
Structure: optimized geometry

Lattice parameters (Å, degrees): 7.555 7.555 7.555 131.66 131.66 70.77
Positions (direct):
Sm  0.119  0.369  0.750
Sm  0.369  0.119  0.250
Sm  0.631  0.881  0.750
Sm  0.881  0.631  0.250
Pb  0.375  0.625  0.750
Pb  0.625  0.375  0.250
Se  0.125  0.875  0.250
Se  0.875  0.125  0.750

Calculated values
- E above lowest polymorph: 0 meV/atom
- Final energy: -5.34 eV per atom